Record 1
Ce5Bi3Rh | Alexandria via LeMat-Bulk | PBE | optimized geometry; density of states at the Fermi level = 57.2 states/eV per cell; calculated formation energy = -716 meV per atom
1.0
9.636 0.000 0.000
-4.818 8.345 0.000
0.000 0.000 6.426
Ce Bi Rh
10 6 2
direct
0.000 0.247 0.250
0.000 0.753 0.750
0.247 0.000 0.250
0.247 0.247 0.750
0.333 0.667 0.000
0.333 0.667 0.500
0.667 0.333 0.000
0.667 0.333 0.500
0.753 0.000 0.750
0.753 0.753 0.250
0.000 0.391 0.750
0.000 0.609 0.250
0.391 0.000 0.750
0.391 0.391 0.250
0.609 0.000 0.250
0.609 0.609 0.750
0.000 0.000 0.000
0.000 0.000 0.500



Record 2
Ce5NdBi4 | Alexandria via LeMat-Bulk | PBE | optimized geometry; density of states at the Fermi level = 66.4 states/eV per cell; calculated formation energy = -336 meV per atom
1.0
10.753 0.000 0.000
0.000 11.094 0.000
0.000 0.000 5.956
Ce Nd Bi
10 2 8
direct
0.000 0.000 0.238
0.000 0.000 0.762
0.000 0.500 0.238
0.000 0.500 0.762
0.250 0.250 0.500
0.500 0.000 0.238
0.500 0.000 0.762
0.500 0.500 0.238
0.500 0.500 0.762
0.750 0.750 0.500
0.250 0.750 0.001
0.750 0.250 0.999
0.074 0.250 0.999
0.250 0.576 0.500
0.250 0.924 0.500
0.426 0.250 0.999
0.574 0.750 0.001
0.750 0.076 0.500
0.750 0.424 0.500
0.926 0.750 0.001



Record 3
MgTi3Pd | Alexandria via LeMat-Bulk | PBE | optimized geometry; density of states at the Fermi level = 10.1 states/eV per cell; calculated formation energy = 535 meV per atom
1.0
4.815 0.000 0.000
0.000 4.815 0.000
0.000 0.000 4.815
Mg Ti Pd
1 3 1
direct
0.000 0.000 0.000
0.000 0.500 0.500
0.500 0.000 0.500
0.500 0.500 0.000
0.500 0.500 0.500



Record 4
Nd4Er3Sc | Alexandria via LeMat-Bulk | PBE | optimized geometry; density of states at the Fermi level = 29.4 states/eV per cell; calculated formation energy = 40 meV per atom
1.0
11.415 0.000 0.000
0.000 7.260 0.000
0.000 0.000 6.239
Nd Er Sc
8 6 2
direct
0.000 0.130 0.000
0.000 0.867 0.523
0.241 0.131 0.354
0.259 0.869 0.854
0.500 0.133 0.023
0.500 0.870 0.500
0.741 0.869 0.854
0.759 0.131 0.354
0.000 0.621 0.018
0.250 0.382 0.846
0.250 0.618 0.346
0.500 0.379 0.518
0.750 0.382 0.846
0.750 0.618 0.346
0.000 0.386 0.513
0.500 0.614 0.013



Record 5
Ta4Nb5W2 | Alexandria via LeMat-Bulk | PBE | optimized geometry; density of states at the Fermi level = 13.7 states/eV per cell; calculated formation energy = -29 meV per atom
1.0
2.842 0.000 0.000
-0.942 7.145 0.000
-0.989 -0.582 9.626
Ta Nb W
4 5 2
direct
0.089 0.317 0.451
0.192 0.134 0.911
0.808 0.866 0.089
0.911 0.683 0.549
0.000 0.500 0.000
0.288 0.957 0.362
0.451 0.588 0.271
0.549 0.412 0.729
0.712 0.043 0.638
0.366 0.775 0.819
0.634 0.225 0.181



Record 6
EuAgAu | Alexandria via LeMat-Bulk | PBE | optimized geometry; density of states at the Fermi level = 11.8 states/eV per cell; calculated formation energy = -459 meV per atom
1.0
-1.912 1.912 4.860
1.912 -1.912 4.860
1.912 1.912 -4.860
Eu Ag Au
1 1 1
direct
0.000 0.000 0.000
0.318 0.318 0.000
0.670 0.670 0.000